Material: TlGaPdPtSe
Method: DFT, GGA-PBE
State: relaxed

abc: 3.801 4.043 6.478
angles: 90.00 90.00 90.00
Fractional coordinates of all 5 atoms:
Tl 0.000 0.000 0.000
Ga 0.000 0.500 0.408
Pd 0.500 0.000 0.443
Pt 0.500 0.500 0.136
Se 0.500 0.500 0.709

Properties
Symmetry: Pmm2
Final energy in Ry per atom: -0.3144
Formation energy (no corrections) in eV/atom: -0.255
Calculated volume in Å³ per atom: 19.914